{
  "formula": "La12Tb5Pm",
  "functional": "PBE",
  "state": "optimized geometry",
  "space_group": "C2/m, No. 12",
  "crystal_system": "monoclinic",
  "total_magnetization_mub_per_fu": 0.0,
  "formation_enthalpy_0k_mev_per_atom": 19,
  "n_ef_per_ev_atom": 1.634,
  "e_tot_ev_per_cell": -86.685,
  "cell": [[9.571, -5.485, 0.000], [9.571, 5.485, 0.000], [-2.096, 0.000, 6.043]],
  "species": ["La", "La", "La", "La", "La", "La", "La", "La", "La", "La", "La", "La", "Tb", "Tb", "Tb", "Tb", "Tb", "Pm"],
  "frac_coords": [[0.004, 0.663, 0.166], [0.162, 0.504, 0.666], [0.169, 0.831, 0.000], [0.329, 0.671, 0.500], [0.337, 0.996, 0.834], [0.496, 0.838, 0.334], [0.504, 0.162, 0.666], [0.663, 0.004, 0.166], [0.671, 0.329, 0.500], [0.831, 0.169, 0.000], [0.838, 0.496, 0.334], [0.996, 0.337, 0.834], [0.000, 0.000, 0.500], [0.167, 0.167, 0.334], [0.333, 0.333, 0.167], [0.667, 0.667, 0.833], [0.833, 0.833, 0.666], [0.500, 0.500, 0.000]]
}

---

{
  "formula": "La3Tb3Pm4",
  "functional": "PBE",
  "state": "optimized geometry",
  "space_group": "Amm2, No. 38",
  "crystal_system": "orthorhombic",
  "total_magnetization_mub_per_fu": 0.0,
  "formation_enthalpy_0k_mev_per_atom": 85,
  "n_ef_per_ev_atom": 1.259,
  "e_tot_ev_per_cell": -46.821,
  "cell": [[3.825, 0.000, 0.000], [0.000, 6.811, 6.779], [0.000, -6.811, 6.779]],
  "species": ["La", "La", "La", "Tb", "Tb", "Tb", "Pm", "Pm", "Pm", "Pm"],
  "frac_coords": [[0.000, 0.000, 0.000], [0.500, 0.174, 0.665], [0.500, 0.665, 0.174], [0.000, 0.342, 0.342], [0.000, 0.500, 0.840], [0.000, 0.840, 0.500], [0.500, 0.046, 0.302], [0.500, 0.302, 0.046], [0.500, 0.544, 0.544], [0.500, 0.795, 0.795]]
}

---

{
  "formula": "La4TbPm3",
  "functional": "PBE",
  "state": "optimized geometry",
  "space_group": "Cmmm, No. 65",
  "e_above_lowest_polymorph_mev_per_atom": 140,
  "crystal_system": "orthorhombic",
  "total_magnetization_mub_per_fu": 0.0,
  "formation_enthalpy_0k_mev_per_atom": 341,
  "n_ef_per_ev_atom": 2.441,
  "e_tot_ev_per_cell": -35.864,
  "cell": [[5.991, -6.851, 0.000], [5.991, 6.851, 0.000], [0.000, 0.000, 3.474]],
  "species": ["La", "La", "La", "La", "Tb", "Pm", "Pm", "Pm"],
  "frac_coords": [[0.247, 0.753, 0.000], [0.249, 0.249, 0.500], [0.751, 0.751, 0.500], [0.753, 0.247, 0.000], [0.000, 0.000, 0.000], [0.000, 0.500, 0.500], [0.500, 0.000, 0.500], [0.500, 0.500, 0.000]]
}

---

{
  "formula": "La4Tb4Pm",
  "functional": "PBE",
  "state": "optimized geometry",
  "space_group": "Fmm2, No. 42",
  "e_above_lowest_polymorph_mev_per_atom": 442,
  "crystal_system": "orthorhombic",
  "total_magnetization_mub_per_fu": 0.0,
  "formation_enthalpy_0k_mev_per_atom": 467,
  "n_ef_per_ev_atom": 1.814,
  "e_tot_ev_per_cell": -38.778,
  "cell": [[0.000, 4.149, 12.231], [3.287, 0.000, 12.231], [3.287, 4.149, 0.000]],
  "species": ["La", "La", "La", "La", "Tb", "Tb", "Tb", "Tb", "Pm"],
  "frac_coords": [[0.000, 0.000, 0.000], [0.234, 0.234, 0.266], [0.463, 0.463, 0.537], [0.734, 0.734, 0.766], [0.094, 0.607, 0.906], [0.416, 0.764, 0.236], [0.607, 0.094, 0.393], [0.764, 0.416, 0.584], [0.142, 0.142, 0.858]]
}

---

{
  "formula": "La5TbPm2",
  "functional": "PBE",
  "state": "optimized geometry",
  "space_group": "C2/c, No. 15",
  "e_above_lowest_polymorph_mev_per_atom": 110,
  "crystal_system": "monoclinic",
  "total_magnetization_mub_per_fu": 0.0,
  "formation_enthalpy_0k_mev_per_atom": 216,
  "n_ef_per_ev_atom": 1.800,
  "e_tot_ev_per_cell": -74.074,
  "cell": [[6.467, -8.097, 0.000], [6.467, 8.097, 0.000], [-2.808, 0.000, 5.546]],
  "species": ["La", "La", "La", "La", "La", "La", "La", "La", "La", "La", "Tb", "Tb", "Pm", "Pm", "Pm", "Pm"],
  "frac_coords": [[0.044, 0.336, 0.938], [0.201, 0.799, 0.750], [0.286, 0.392, 0.583], [0.336, 0.044, 0.438], [0.392, 0.286, 0.083], [0.608, 0.714, 0.917], [0.664, 0.956, 0.562], [0.714, 0.608, 0.417], [0.799, 0.201, 0.250], [0.956, 0.664, 0.062], [0.345, 0.655, 0.250], [0.655, 0.345, 0.750], [0.000, 0.000, 0.000], [0.000, 0.000, 0.500], [0.000, 0.500, 0.500], [0.500, 0.000, 0.000]]
}

---

{
  "formula": "La2Tb2Pm",
  "functional": "PBE",
  "state": "optimized geometry",
  "space_group": "R-3m, No. 166",
  "e_above_lowest_polymorph_mev_per_atom": 0,
  "crystal_system": "trigonal",
  "total_magnetization_mub_per_fu": 0.0,
  "formation_enthalpy_0k_mev_per_atom": 16,
  "n_ef_per_ev_atom": 1.382,
  "e_tot_ev_per_cell": -23.787,
  "cell": [[1.824, 1.053, 14.905], [-1.824, 1.053, 14.905], [0.000, -2.107, 14.905]],
  "species": ["La", "La", "Tb", "Tb", "Pm"],
  "frac_coords": [[0.201, 0.201, 0.201], [0.799, 0.799, 0.799], [0.398, 0.398, 0.398], [0.602, 0.602, 0.602], [0.000, 0.000, 0.000]]
}

---

{
  "formula": "La5Tb6Pm2",
  "functional": "PBE",
  "state": "optimized geometry",
  "space_group": "Pbam, No. 55",
  "crystal_system": "orthorhombic",
  "total_magnetization_mub_per_fu": 0.0,
  "formation_enthalpy_0k_mev_per_atom": 89,
  "n_ef_per_ev_atom": 1.347,
  "e_tot_ev_per_cell": -121.519,
  "cell": [[11.789, 0.000, 0.000], [0.000, 21.050, 0.000], [0.000, 0.000, 3.651]],
  "species": ["La", "La", "La", "La", "La", "La", "La", "La", "La", "La", "Tb", "Tb", "Tb", "Tb", "Tb", "Tb", "Tb", "Tb", "Tb", "Tb", "Tb", "Tb", "Pm", "Pm", "Pm", "Pm"],
  "frac_coords": [[0.000, 0.000, 0.000], [0.061, 0.287, 0.000], [0.196, 0.567, 0.000], [0.304, 0.067, 0.000], [0.439, 0.787, 0.000], [0.500, 0.500, 0.000], [0.561, 0.213, 0.000], [0.696, 0.933, 0.000], [0.804, 0.433, 0.000], [0.939, 0.713, 0.000], [0.063, 0.141, 0.500], [0.074, 0.432, 0.500], [0.189, 0.873, 0.000], [0.311, 0.373, 0.000], [0.426, 0.932, 0.500], [0.437, 0.641, 0.500], [0.563, 0.359, 0.500], [0.574, 0.068, 0.500], [0.689, 0.627, 0.000], [0.811, 0.127, 0.000], [0.926, 0.568, 0.500], [0.937, 0.859, 0.500], [0.196, 0.728, 0.500], [0.304, 0.228, 0.500], [0.696, 0.772, 0.500], [0.804, 0.272, 0.500]]
}

---

{
  "formula": "La3Tb2Pm5",
  "functional": "PBE",
  "state": "optimized geometry",
  "space_group": "C2/c, No. 15",
  "crystal_system": "monoclinic",
  "total_magnetization_mub_per_fu": 0.0,
  "formation_enthalpy_0k_mev_per_atom": 172,
  "n_ef_per_ev_atom": 1.669,
  "e_tot_ev_per_cell": -92.160,
  "cell": [[5.539, -7.553, 0.000], [5.539, 7.553, 0.000], [-5.472, 0.000, 8.373]],
  "species": ["La", "La", "La", "La", "La", "La", "Tb", "Tb", "Tb", "Tb", "Pm", "Pm", "Pm", "Pm", "Pm", "Pm", "Pm", "Pm", "Pm", "Pm"],
  "frac_coords": [[0.023, 0.275, 0.055], [0.226, 0.774, 0.750], [0.275, 0.023, 0.555], [0.725, 0.977, 0.445], [0.774, 0.226, 0.250], [0.977, 0.725, 0.945], [0.222, 0.467, 0.450], [0.467, 0.222, 0.950], [0.533, 0.778, 0.050], [0.778, 0.533, 0.550], [0.017, 0.983, 0.750], [0.144, 0.387, 0.773], [0.270, 0.730, 0.250], [0.387, 0.144, 0.273], [0.473, 0.527, 0.250], [0.527, 0.473, 0.750], [0.613, 0.856, 0.727], [0.730, 0.270, 0.750], [0.856, 0.613, 0.227], [0.983, 0.017, 0.250]]
}

---

{
  "formula": "La6TbPm3",
  "functional": "PBE",
  "state": "optimized geometry",
  "space_group": "R-3, No. 148",
  "e_above_lowest_polymorph_mev_per_atom": 71,
  "crystal_system": "trigonal",
  "total_magnetization_mub_per_fu": 0.0,
  "formation_enthalpy_0k_mev_per_atom": 185,
  "n_ef_per_ev_atom": 1.872,
  "e_tot_ev_per_cell": -46.593,
  "cell": [[5.067, 2.925, 4.086], [-5.067, 2.925, 4.086], [0.000, -5.850, 4.086]],
  "species": ["La", "La", "La", "La", "La", "La", "Tb", "Pm", "Pm", "Pm"],
  "frac_coords": [[0.074, 0.748, 0.426], [0.252, 0.574, 0.926], [0.426, 0.074, 0.748], [0.574, 0.926, 0.252], [0.748, 0.426, 0.074], [0.926, 0.252, 0.574], [0.500, 0.500, 0.500], [0.000, 0.000, 0.000], [0.251, 0.251, 0.251], [0.749, 0.749, 0.749]]
}

---

{
  "formula": "La4Tb2Pm5",
  "functional": "PBE",
  "state": "optimized geometry",
  "space_group": "Immm, No. 71",
  "e_above_lowest_polymorph_mev_per_atom": 164,
  "crystal_system": "orthorhombic",
  "total_magnetization_mub_per_fu": 0.0,
  "formation_enthalpy_0k_mev_per_atom": 240,
  "n_ef_per_ev_atom": 1.418,
  "e_tot_ev_per_cell": -50.083,
  "cell": [[-1.777, 4.765, 11.605], [1.777, -4.765, 11.605], [1.777, 4.765, -11.605]],
  "species": ["La", "La", "La", "La", "Tb", "Tb", "Pm", "Pm", "Pm", "Pm", "Pm"],
  "frac_coords": [[0.093, 0.093, 0.000], [0.210, 0.500, 0.710], [0.790, 0.500, 0.290], [0.907, 0.907, 0.000], [0.228, 0.228, 0.000], [0.772, 0.772, 0.000], [0.147, 0.349, 0.798], [0.449, 0.651, 0.798], [0.500, 0.000, 0.500], [0.551, 0.349, 0.202], [0.853, 0.651, 0.202]]
}

---

{
  "formula": "La2TbPm6",
  "functional": "PBE",
  "state": "optimized geometry",
  "space_group": "P-6m2, No. 187",
  "e_above_lowest_polymorph_mev_per_atom": 0,
  "crystal_system": "hexagonal",
  "total_magnetization_mub_per_fu": 0.0,
  "formation_enthalpy_0k_mev_per_atom": 62,
  "n_ef_per_ev_atom": 1.782,
  "e_tot_ev_per_cell": -42.432,
  "cell": [[3.660, 0.000, 0.000], [-1.830, 3.170, 0.000], [0.000, 0.000, 27.255]],
  "species": ["La", "La", "Tb", "Pm", "Pm", "Pm", "Pm", "Pm", "Pm"],
  "frac_coords": [[0.000, 0.000, 0.171], [0.000, 0.000, 0.829], [0.667, 0.333, 0.500], [0.000, 0.000, 0.393], [0.000, 0.000, 0.607], [0.667, 0.333, 0.062], [0.667, 0.333, 0.286], [0.667, 0.333, 0.714], [0.667, 0.333, 0.938]]
}

---

{
  "formula": "La5Tb5Pm2",
  "functional": "PBE",
  "state": "optimized geometry",
  "space_group": "C2/m, No. 12",
  "crystal_system": "monoclinic",
  "total_magnetization_mub_per_fu": 0.0,
  "formation_enthalpy_0k_mev_per_atom": 24,
  "n_ef_per_ev_atom": 1.682,
  "e_tot_ev_per_cell": -57.004,
  "cell": [[7.788, -2.581, 0.000], [7.788, 2.581, 0.000], [-5.201, 0.000, 10.295]],
  "species": ["La", "La", "La", "La", "La", "Tb", "Tb", "Tb", "Tb", "Tb", "Pm", "Pm"],
  "frac_coords": [[0.000, 0.000, 0.000], [0.082, 0.082, 0.750], [0.249, 0.249, 0.250], [0.751, 0.751, 0.750], [0.918, 0.918, 0.250], [0.333, 0.333, 0.000], [0.416, 0.416, 0.748], [0.500, 0.500, 0.500], [0.584, 0.584, 0.252], [0.667, 0.667, 0.000], [0.166, 0.166, 0.499], [0.834, 0.834, 0.501]]
}